This record from Alexandria describes a relaxed structure of Nd2Ga9Pd3. The functional is PBE.

Cell: 7.7654 7.7654 10.7058 Å, 89.87 111.44 119.95°
Atoms (fractional coordinates):
Nd  0.3333  0.2486  0.7489
Nd  0.6667  0.7514  0.2511
Nd  0.9997  0.5844  0.7511
Nd  0.0003  0.4156  0.2489
Ga  0.4633  0.9185  0.7488
Ga  0.5367  0.0815  0.2512
Ga  0.6697  0.7145  0.7512
Ga  0.3303  0.2855  0.2488
Ga  0.4520  0.6439  0.9247
Ga  0.5480  0.3561  0.0753
Ga  0.2192  0.5274  0.5753
Ga  0.7808  0.4726  0.4247
Ga  0.8725  0.1225  0.7500
Ga  0.1275  0.8775  0.2500
Ga  0.1236  0.9793  0.9357
Ga  0.8764  0.0207  0.0643
Ga  0.5436  0.1879  0.5643
Ga  0.4564  0.8121  0.4357
Ga  0.8805  0.8582  0.5760
Ga  0.1195  0.1418  0.4240
Ga  0.7822  0.3045  0.9240
Ga  0.2178  0.6955  0.0760
Pd  0.5000  0.0000  0.0000
Pd  0.5000  0.5000  0.5000
Pd  0.8388  0.1692  0.4992
Pd  0.1612  0.8308  0.5008
Pd  0.1700  0.3396  0.0008
Pd  0.8300  0.6604  0.9992

Computed properties:
The formation energy comes out at -8.8 eV per formula unit. As for the crystal system: monoclinic. The raw total energy is -4.368 eV per atom.